No. 1
# PmZrRu4 | Alexandria via LeMat-Bulk | PBE | relaxed
# * energy of formation from the pure elements: -1.293 eV/f.u.
# * M_tot: 0.00 μB per atom
# * total DFT energy (no corrections): -51.7 eV per formula unit
# * calculated volume: 106 Å³/f.u.
data_PmZrRu4
_chemical_formula_sum 'Pm4 Zr4 Ru16'
_cell_length_a 7.510
_cell_length_b 7.510
_cell_length_c 7.510
_cell_angle_alpha 90.00
_cell_angle_beta 90.00
_cell_angle_gamma 90.00
_symmetry_space_group_name_H-M 'F -4 3 m'
_symmetry_Int_Tables_number 216
_symmetry_space_group_name_Hall 'F -4 2 3'
loop_
_atom_site_label
_atom_site_fract_x
_atom_site_fract_y
_atom_site_fract_z
Pm1 0.000 0.000 0.000
Zr1 0.250 0.250 0.250
Ru1 0.125 0.125 0.625

***

No. 2
# PmZrRu2 | Alexandria via LeMat-Bulk | PBE | relaxed
# * energy of formation from the pure elements: -1.301 eV/f.u.
# * M_tot: 0.00 μB per atom
# * total DFT energy (no corrections): -33.2 eV per formula unit
# * calculated volume: 77 Å³/f.u.
data_PmZrRu2
_chemical_formula_sum 'Pm4 Zr4 Ru8'
_cell_length_a 6.754
_cell_length_b 6.754
_cell_length_c 6.754
_cell_angle_alpha 90.00
_cell_angle_beta 90.00
_cell_angle_gamma 90.00
_symmetry_space_group_name_H-M 'F m -3 m'
_symmetry_Int_Tables_number 225
_symmetry_space_group_name_Hall '-F 4 2 3'
loop_
_atom_site_label
_atom_site_fract_x
_atom_site_fract_y
_atom_site_fract_z
Pm1 0.000 0.000 0.000
Zr1 0.000 0.000 0.500
Ru1 0.250 0.250 0.250

***

No. 3
# PmZrRu | Alexandria via LeMat-Bulk | PBE | relaxed
# * energy of formation from the pure elements: -0.544 eV/f.u.
# * M_tot: 0.30 μB per atom
# * total DFT energy (no corrections): -23.1 eV per formula unit
# * calculated volume: 68 Å³/f.u.
data_PmZrRu
_chemical_formula_sum 'Pm2 Zr2 Ru2'
_cell_length_a 3.381
_cell_length_b 3.381
_cell_length_c 11.903
_cell_angle_alpha 90.00
_cell_angle_beta 90.00
_cell_angle_gamma 90.00
_symmetry_space_group_name_H-M 'I 4 m m'
_symmetry_Int_Tables_number 107
_symmetry_space_group_name_Hall 'I 4 -2'
loop_
_atom_site_label
_atom_site_fract_x
_atom_site_fract_y
_atom_site_fract_z
Pm1 0.000 0.000 0.000
Zr1 0.000 0.000 0.283
Ru1 0.000 0.000 0.667

***

No. 4
# PmZrRu | Alexandria via LeMat-Bulk | PBE | relaxed
# * energy of formation from the pure elements: -0.896 eV/f.u.
# * M_tot: 0.00 μB per atom
# * total DFT energy (no corrections): -23.5 eV per formula unit
# * calculated volume: 69 Å³/f.u.
data_PmZrRu
_chemical_formula_sum 'Pm6 Zr6 Ru6'
_cell_length_a 7.084
_cell_length_b 4.580
_cell_length_c 12.842
_cell_angle_alpha 90.00
_cell_angle_beta 91.56
_cell_angle_gamma 90.00
_symmetry_space_group_name_H-M 'P 1 21/m 1'
_symmetry_Int_Tables_number 11
_symmetry_space_group_name_Hall '-P 2yb'
loop_
_atom_site_label
_atom_site_fract_x
_atom_site_fract_y
_atom_site_fract_z
Pm1 0.009 0.250 0.378
Pm2 0.113 0.250 0.085
Pm3 0.485 0.250 0.290
Zr1 0.164 0.250 0.785
Zr2 0.356 0.750 0.455
Zr3 0.457 0.750 0.085
Ru1 0.201 0.750 0.239
Ru2 0.276 0.250 0.563
Ru3 0.310 0.750 0.890

***

No. 5
# PmZr4Ru5 | Alexandria via LeMat-Bulk | PBE | relaxed
# * energy of formation from the pure elements: -5.476 eV/f.u.
# * M_tot: 0.00 μB per atom
# * total DFT energy (no corrections): -90.8 eV per formula unit
# * calculated volume: 183 Å³/f.u.
data_PmZr4Ru5
_chemical_formula_sum 'Pm1 Zr4 Ru5'
_cell_length_a 3.302
_cell_length_b 3.302
_cell_length_c 16.814
_cell_angle_alpha 90.00
_cell_angle_beta 90.00
_cell_angle_gamma 90.00
_symmetry_space_group_name_H-M 'P 4/m m m'
_symmetry_Int_Tables_number 123
_symmetry_space_group_name_Hall '-P 4 2'
loop_
_atom_site_label
_atom_site_fract_x
_atom_site_fract_y
_atom_site_fract_z
Pm1 0.000 0.000 0.000
Zr1 0.000 0.000 0.206
Zr2 0.000 0.000 0.402
Ru1 0.500 0.500 0.117
Ru2 0.500 0.500 0.308
Ru3 0.500 0.500 0.500

***

No. 6
# PmZr2Ru | Alexandria via LeMat-Bulk | PBE | relaxed
# * energy of formation from the pure elements: 0.194 eV/f.u.
# * M_tot: 0.00 μB per atom
# * total DFT energy (no corrections): -30.9 eV per formula unit
# * calculated volume: 84 Å³/f.u.
data_PmZr2Ru
_chemical_formula_sum 'Pm3 Zr6 Ru3'
_cell_length_a 4.7795
_cell_length_b 4.7795
_cell_length_c 12.7808
_cell_angle_alpha 90.00
_cell_angle_beta 90.00
_cell_angle_gamma 120.00
_symmetry_space_group_name_H-M 'R -3 m'
_symmetry_Int_Tables_number 166
_symmetry_space_group_name_Hall '-R 3 2"'
loop_
_atom_site_label
_atom_site_fract_x
_atom_site_fract_y
_atom_site_fract_z
Pm1 0.0000 0.0000 0.0000
Zr1 0.0000 0.0000 0.2426
Ru1 0.0000 0.0000 0.5000

***

No. 7
# PmZrRu2 | Alexandria via LeMat-Bulk | PBE | relaxed
# * energy of formation from the pure elements: -1.546 eV/f.u.
# * M_tot: 0.00 μB per atom
# * total DFT energy (no corrections): -33.4 eV per formula unit
# * calculated volume: 77 Å³/f.u.
data_PmZrRu2
_chemical_formula_sum 'Pm1 Zr1 Ru2'
_cell_length_a 3.353
_cell_length_b 3.353
_cell_length_c 6.880
_cell_angle_alpha 90.00
_cell_angle_beta 90.00
_cell_angle_gamma 90.00
_symmetry_space_group_name_H-M 'P 4/m m m'
_symmetry_Int_Tables_number 123
_symmetry_space_group_name_Hall '-P 4 2'
loop_
_atom_site_label
_atom_site_fract_x
_atom_site_fract_y
_atom_site_fract_z
Pm1 0.000 0.000 0.000
Zr1 0.000 0.000 0.500
Ru1 0.500 0.500 0.274

***

No. 8
# PmZr2Ru | Alexandria via LeMat-Bulk | PBE | relaxed
# * energy of formation from the pure elements: -0.700 eV/f.u.
# * M_tot: 0.00 μB per atom
# * total DFT energy (no corrections): -31.8 eV per formula unit
# * calculated volume: 90 Å³/f.u.
data_PmZr2Ru
_chemical_formula_sum 'Pm1 Zr2 Ru1'
_cell_length_a 3.325
_cell_length_b 3.325
_cell_length_c 8.115
_cell_angle_alpha 90.00
_cell_angle_beta 90.00
_cell_angle_gamma 90.00
_symmetry_space_group_name_H-M 'P 4/m m m'
_symmetry_Int_Tables_number 123
_symmetry_space_group_name_Hall '-P 4 2'
loop_
_atom_site_label
_atom_site_fract_x
_atom_site_fract_y
_atom_site_fract_z
Pm1 0.000 0.000 0.000
Zr1 0.500 0.500 0.305
Ru1 0.000 0.000 0.500

***

calculated volume of number 7 (PmZrRu2)? 77 Å³/f.u.

***

Please write out number 3 again, unchanged.
# PmZrRu | Alexandria via LeMat-Bulk | PBE | relaxed
# * energy of formation from the pure elements: -0.544 eV/f.u.
# * M_tot: 0.30 μB per atom
# * total DFT energy (no corrections): -23.1 eV per formula unit
# * calculated volume: 68 Å³/f.u.
data_PmZrRu
_chemical_formula_sum 'Pm2 Zr2 Ru2'
_cell_length_a 3.381
_cell_length_b 3.381
_cell_length_c 11.903
_cell_angle_alpha 90.00
_cell_angle_beta 90.00
_cell_angle_gamma 90.00
_symmetry_space_group_name_H-M 'I 4 m m'
_symmetry_Int_Tables_number 107
_symmetry_space_group_name_Hall 'I 4 -2'
loop_
_atom_site_label
_atom_site_fract_x
_atom_site_fract_y
_atom_site_fract_z
Pm1 0.000 0.000 0.000
Zr1 0.000 0.000 0.283
Ru1 0.000 0.000 0.667